Below is an optimized crystal structure of BaGaHRh2, with properties calculated at the PBE level.

Calculated volume ... 348.4 Å³ per cell
M_tot ... 0.0 μB/cell
D(E_F) ... 0.63 states/eV per atom
DFT total energy ... -99.70 eV/cell

Unit cell a=4.0967 b=11.6223 c=7.3171 alpha=90.00 beta=90.00 gamma=90.00
Last column: nearest neighbours and their distance in Å.
Space group Cmcm (No. 63)
Asymmetric unit:
Ba: 0.0000 0.0542 0.2500  4 H 2.82
Ga: 0.0000 0.2197 0.7500  6 Rh 2.58-2.60
H: 0.0000 0.5000 0.0000  2 Rh 1.95
Rh: 0.0000 0.3356 0.0505  1 H 1.95

Below is an optimized crystal structure of BaGaSbH, with properties calculated at the PBE level.

Calculated volume ... 202.8 Å³ per cell
M_tot ... 0.0 μB/cell
D(E_F) ... 0.11 states/eV per atom
DFT total energy ... -29.17 eV/cell

Unit cell a=9.0093 b=4.4586 c=5.0565 alpha=90.00 beta=93.16 gamma=90.00
Last column: nearest neighbours and their distance in Å.
Space group Cm (No. 8)
Asymmetric unit:
Ba: 0.0000 0.0000 0.0000  3 H 2.75-3.06
Ga: 0.3466 0.0000 0.4598  1 H 1.75
Sb: 0.1691 0.5000 0.5333  3 Ga 2.78-2.91
H: 0.3368 0.0000 0.1140  1 Ga 1.75

Below is an optimized crystal structure of Ba2GaSb2H4, with properties calculated at the PBE level.

Calculated volume ... 403.1 Å³ per cell
M_tot ... 0.0 μB/cell
D(E_F) ... 0.70 states/eV per atom
DFT total energy ... -59.20 eV/cell

Unit cell a=6.7510 b=6.7510 c=8.8446 alpha=90.00 beta=90.00 gamma=90.00
Last column: nearest neighbours and their distance in Å.
Space group I4/mmm (No. 139)
Asymmetric unit:
Ba: 0.0000 0.5000 0.2500  8 H 3.32, 4 Sb 3.47
Ga: 0.0000 0.0000 0.0000  4 H 1.72
Sb: 0.0000 0.0000 0.3416  1 Sb 2.80, 1 Ga 3.02
H: 0.1804 0.1804 0.0000  1 Ga 1.72

Below is an optimized crystal structure of BaGaSiH, with properties calculated at the PBE level.

Calculated volume ... 84.2 Å³ per cell
M_tot ... 0.0 μB/cell
DFT total energy ... -15.41 eV/cell

Unit cell a=4.3041 b=4.3041 c=5.2452 alpha=90.00 beta=90.00 gamma=120.00
Last column: nearest neighbours and their distance in Å.
Space group P3m1 (No. 156)
Asymmetric unit:
Ba: 0.0000 0.0000 0.0000  3 H 2.57
Ga: 0.6667 0.3333 0.5407  1 H 1.76
Si: 0.3333 0.6667 0.4555  3 Ga 2.52
H: 0.6667 0.3333 0.8756  1 Ga 1.76

Below is an optimized crystal structure of BaGaSnH, with properties calculated at the PBE level.

Calculated volume ... 98.6 Å³ per cell
M_tot ... 0.0 μB/cell
D(E_F) ... 0.01 states/eV per atom
DFT total energy ... -14.34 eV/cell

Unit cell a=4.6005 b=4.6005 c=5.3788 alpha=90.00 beta=90.00 gamma=120.00
Last column: nearest neighbours and their distance in Å.
Space group P3m1 (No. 156)
Asymmetric unit:
Ba: 0.0000 0.0000 0.0000  3 H 2.70
Ga: 0.6667 0.3333 0.5858  1 H 1.75
Sn: 0.3333 0.6667 0.4579  3 Ga 2.74
H: 0.6667 0.3333 0.9105  1 Ga 1.75

Below is an optimized crystal structure of BaSr2GaH, with properties calculated at the PBE level.

Calculated volume ... 155.4 Å³ per cell
M_tot ... 0.0 μB/cell
D(E_F) ... 0.55 states/eV per atom
DFT total energy ... -12.68 eV/cell

Unit cell a=5.3485 b=5.3485 c=5.4305 alpha=90.00 beta=90.00 gamma=90.00
Last column: nearest neighbours and their distance in Å.
Space group P4/mmm (No. 123)
Asymmetric unit:
Ba: 0.0000 0.0000 0.0000  2 H 2.72
Sr: 0.0000 0.5000 0.5000  2 H 2.67
Ga: 0.5000 0.5000 0.0000  4 Ba 3.78, 8 Sr 3.81
H: 0.0000 0.0000 0.5000  4 Sr 2.67, 2 Ba 2.72